! TlHPd3 PBE-GGA optimized geometry; values from VASP
! Total magnetic moment ... 0.000 μB/cell
! Calculated total energy ... -4.44 eV/atom
! ΔE to the lowest computed polymorph ... 83 meV per atom
&SYSTEM
  ibrav = 0, nat = 10, ntyp = 3
/
ATOMIC_SPECIES
H 1.01 H.upf
Pd 106.42 Pd.upf
Tl 204.38 Tl.upf
ATOMIC_POSITIONS crystal
H 0.054 0.247 0.546
Pd 0.328 0.334 0.431
Pd 0.817 0.361 0.176
H 0.563 0.301 0.800
Tl 0.837 0.860 0.437
Pd 0.333 0.836 0.685
Pd 0.822 0.843 0.929
Tl 0.296 0.846 0.167
Pd 0.817 0.361 0.679
Pd 0.327 0.334 0.933
CELL_PARAMETERS angstrom
-4.646 4.394 1.627
-4.133 0.733 -2.906
-1.433 -5.584 0.638

***

! TlH5Pd4 PBE-GGA optimized geometry; values from VASP
! Total magnetic moment ... 0.000 μB/cell
! Calculated total energy ... -3.96 eV/atom
&SYSTEM
  ibrav = 0, nat = 20, ntyp = 3
/
ATOMIC_SPECIES
Pd 106.42 Pd.upf
H 1.01 H.upf
Tl 204.38 Tl.upf
ATOMIC_POSITIONS crystal
Pd 0.337 0.256 0.000
H 0.788 0.771 0.298
H 0.212 0.271 0.798
Tl 0.178 0.500 0.500
Pd 0.663 0.756 0.500
H 0.212 0.729 0.798
Pd 0.112 0.000 0.308
Pd 0.663 0.244 0.500
Pd 0.888 0.500 0.192
H 0.603 0.500 0.000
Pd 0.888 0.500 0.808
H 0.212 0.729 0.202
H 0.788 0.229 0.298
H 0.788 0.771 0.702
H 0.397 0.000 0.500
Pd 0.112 0.000 0.692
Pd 0.337 0.744 0.000
Tl 0.822 0.000 0.000
H 0.212 0.271 0.202
H 0.788 0.229 0.702
CELL_PARAMETERS angstrom
4.678 0.000 0.000
0.000 5.630 0.000
0.000 0.000 8.288

***

! Tl2HPd5 PBE-GGA optimized geometry; values from VASP
! Total magnetic moment ... 0.000 μB/cell
! Calculated total energy ... -4.37 eV/atom
&SYSTEM
  ibrav = 0, nat = 8, ntyp = 3
/
ATOMIC_SPECIES
Tl 204.38 Tl.upf
Pd 106.42 Pd.upf
H 1.01 H.upf
ATOMIC_POSITIONS crystal
Tl 0.500 0.500 0.000
Pd 0.500 0.000 0.000
Pd 0.000 0.253 0.747
Tl 0.500 0.000 0.500
Pd 0.000 0.747 0.253
Pd 0.000 0.747 0.747
H 0.000 0.000 0.000
Pd 0.000 0.253 0.253
CELL_PARAMETERS angstrom
-0.192 -1.599 -3.809
-3.355 -4.186 1.926
-4.600 3.180 -1.103

***

! TlH2Pd PBE-GGA optimized geometry; values from VASP
! Total magnetic moment ... 0.000 μB/cell
! Calculated total energy ... -3.51 eV/atom
! ΔE to the lowest computed polymorph ... 92 meV per atom
&SYSTEM
  ibrav = 0, nat = 4, ntyp = 3
/
ATOMIC_SPECIES
Tl 204.38 Tl.upf
H 1.01 H.upf
Pd 106.42 Pd.upf
ATOMIC_POSITIONS crystal
Tl 0.498 0.498 0.505
H 0.302 0.302 0.095
H 0.033 0.033 0.902
Pd 0.667 0.667 0.998
CELL_PARAMETERS angstrom
-0.563 1.875 2.405
-1.169 -1.158 2.628
5.276 -0.771 3.837

***

! Tl3H2Pd9 PBE-GGA optimized geometry; values from VASP
! Total magnetic moment ... 0.000 μB/cell
! Calculated total energy ... -4.57 eV/atom
&SYSTEM
  ibrav = 0, nat = 14, ntyp = 3
/
ATOMIC_SPECIES
Pd 106.42 Pd.upf
H 1.01 H.upf
Tl 204.38 Tl.upf
ATOMIC_POSITIONS crystal
Pd 0.331 0.166 0.334
H 0.667 0.333 0.168
Tl 0.333 0.667 0.336
Pd 0.834 0.669 0.334
Pd 0.500 0.000 0.000
Pd 0.669 0.834 0.666
Pd 0.166 0.834 0.666
H 0.333 0.667 0.832
Tl 0.000 0.000 0.000
Pd 0.834 0.166 0.334
Pd 0.166 0.331 0.666
Pd 0.000 0.500 0.000
Tl 0.667 0.333 0.664
Pd 0.500 0.500 0.000
CELL_PARAMETERS angstrom
-1.815 -4.146 -3.642
5.033 2.731 -0.983
3.420 -4.906 3.880

***

! TlHPd3 PBE-GGA optimized geometry; values from VASP
! Total magnetic moment ... 0.000 μB/cell
! Calculated total energy ... -4.42 eV/atom
! ΔE to the lowest computed polymorph ... 99 meV per atom
&SYSTEM
  ibrav = 0, nat = 10, ntyp = 3
/
ATOMIC_SPECIES
H 1.01 H.upf
Pd 106.42 Pd.upf
Tl 204.38 Tl.upf
ATOMIC_POSITIONS crystal
H 0.044 0.250 0.440
Pd 0.241 0.500 0.742
Pd 0.241 0.000 0.742
Pd 0.739 0.750 0.760
Tl 0.267 0.750 0.233
Tl 0.733 0.250 0.767
H 0.956 0.750 0.560
Pd 0.759 0.500 0.258
Pd 0.759 0.000 0.258
Pd 0.261 0.250 0.240
CELL_PARAMETERS angstrom
-3.670 -2.301 2.700
1.570 -5.125 -2.234
4.357 0.166 2.681

***

! TlH2Pd PBE-GGA optimized geometry; values from VASP
! Total magnetic moment ... 0.000 μB/cell
! Calculated total energy ... -3.47 eV/atom
! ΔE to the lowest computed polymorph ... 129 meV per atom
&SYSTEM
  ibrav = 0, nat = 8, ntyp = 3
/
ATOMIC_SPECIES
Pd 106.42 Pd.upf
H 1.01 H.upf
Tl 204.38 Tl.upf
ATOMIC_POSITIONS crystal
Pd 0.250 0.750 0.500
H 0.284 0.625 0.250
Tl 0.000 0.000 0.000
Pd 0.500 0.500 0.000
H 0.875 0.716 0.750
Tl 0.750 0.250 0.500
H 0.375 0.534 0.750
H 0.466 0.125 0.250
CELL_PARAMETERS angstrom
-1.099 3.820 -3.846
-1.597 -3.978 -3.495
-4.756 0.195 -2.425

***

! TlHPd3 PBE-GGA optimized geometry; values from VASP
! Total magnetic moment ... 0.000 μB/cell
! Calculated total energy ... -4.42 eV/atom
! ΔE to the lowest computed polymorph ... 99 meV per atom
&SYSTEM
  ibrav = 0, nat = 10, ntyp = 3
/
ATOMIC_SPECIES
Pd 106.42 Pd.upf
H 1.01 H.upf
Tl 204.38 Tl.upf
ATOMIC_POSITIONS crystal
Pd 0.964 0.422 0.410
Pd 0.964 0.955 0.947
H 0.964 0.248 0.136
H 0.951 0.171 0.665
Tl 0.425 0.917 0.909
Pd 0.964 0.932 0.434
Pd 0.459 0.934 0.425
Tl 0.503 0.456 0.448
Pd 0.470 0.440 0.930
Pd 0.964 0.447 0.916
CELL_PARAMETERS angstrom
-3.655 3.986 -2.278
1.051 -4.747 -3.066
-1.812 -3.020 4.541